{"formula": "Nb2Co3O9", "functional": "GGA+U", "state": "relaxed", "cell": [[5.135, 0.000, 0.000], [-2.568, 4.447, 0.000], [0.000, 0.000, 14.310]], "species": ["Nb", "Nb", "Nb", "Nb", "Co", "Co", "Co", "Co", "Co", "Co", "O", "O", "O", "O", "O", "O", "O", "O", "O", "O", "O", "O", "O", "O", "O", "O", "O", "O"], "frac_coords": [[0.000, 0.000, 0.000], [0.000, 0.000, 0.214], [0.000, 0.000, 0.500], [0.000, 0.000, 0.714], [0.333, 0.667, 0.362], [0.333, 0.667, 0.862], [0.667, 0.333, 0.034], [0.667, 0.333, 0.339], [0.667, 0.333, 0.534], [0.667, 0.333, 0.839], [0.012, 0.325, 0.282], [0.012, 0.687, 0.782], [0.313, 0.325, 0.782], [0.313, 0.988, 0.282], [0.319, 0.079, 0.601], [0.319, 0.240, 0.101], [0.369, 0.030, 0.946], [0.369, 0.340, 0.446], [0.660, 0.030, 0.446], [0.660, 0.631, 0.946], [0.675, 0.687, 0.282], [0.675, 0.988, 0.782], [0.760, 0.079, 0.101], [0.760, 0.681, 0.601], [0.921, 0.240, 0.601], [0.921, 0.681, 0.101], [0.970, 0.340, 0.946], [0.970, 0.631, 0.446]], "sg": "P3c1, No. 158", "volume_a3_per_atom": 11.67, "dft_energy_ev_per_atom": -7.363, "m_tot_mub_per_fu": 6.97}